(1)
# meta-GGA SCAN AlCoNi6, PBEsol geometry
data_AlCoNi6
_chemical_formula_sum 'Al4 Co4 Ni24'
_space_group_name_H-M_alt 'P 1'
_space_group_IT_number 1
_space_group_name_Hall 'P 1'
_cell_length_a 6.043
_cell_length_b 6.043
_cell_length_c 9.875
_cell_angle_alpha 90.00
_cell_angle_beta 90.00
_cell_angle_gamma 109.54
loop_
_atom_site_label
_atom_site_type_symbol
_atom_site_fract_x
_atom_site_fract_y
_atom_site_fract_z
Al1 Al 0.000 0.000 0.250
Al2 Al 0.000 0.000 0.750
Al3 Al 0.248 0.752 0.000
Al4 Al 0.752 0.248 0.000
Co1 Co 0.248 0.752 0.500
Co2 Co 0.500 0.500 0.251
Co3 Co 0.500 0.500 0.749
Co4 Co 0.752 0.248 0.500
Ni1 Ni 0.000 0.000 0.000
Ni2 Ni 0.000 0.000 0.500
Ni3 Ni 0.127 0.379 0.377
Ni4 Ni 0.127 0.379 0.623
Ni5 Ni 0.130 0.378 0.127
Ni6 Ni 0.130 0.378 0.873
Ni7 Ni 0.252 0.748 0.254
Ni8 Ni 0.252 0.748 0.746
Ni9 Ni 0.378 0.130 0.127
Ni10 Ni 0.378 0.130 0.873
Ni11 Ni 0.379 0.127 0.377
Ni12 Ni 0.379 0.127 0.623
Ni13 Ni 0.500 0.500 0.000
Ni14 Ni 0.500 0.500 0.500
Ni15 Ni 0.621 0.873 0.377
Ni16 Ni 0.621 0.873 0.623
Ni17 Ni 0.622 0.870 0.127
Ni18 Ni 0.622 0.870 0.873
Ni19 Ni 0.748 0.252 0.254
Ni20 Ni 0.748 0.252 0.746
Ni21 Ni 0.870 0.622 0.127
Ni22 Ni 0.870 0.622 0.873
Ni23 Ni 0.873 0.621 0.377
Ni24 Ni 0.873 0.621 0.623
# Formation energy, eV per atom: -0.232
# Symmetry: Cmmm
# Fermi-level density of states, states/eV per atom: 0.6843
# Energy relative to the lowest polymorph listed for this composition, meV per atom: 3


(2)
# meta-GGA SCAN ZrSc2PtO, PBEsol geometry
data_ZrSc2PtO
_chemical_formula_sum 'Zr1 Sc2 Pt1 O1'
_space_group_name_H-M_alt 'P 1'
_space_group_IT_number 1
_space_group_name_Hall 'P 1'
_cell_length_a 5.184
_cell_length_b 5.184
_cell_length_c 4.650
_cell_angle_alpha 90.00
_cell_angle_beta 90.00
_cell_angle_gamma 90.00
loop_
_atom_site_label
_atom_site_type_symbol
_atom_site_fract_x
_atom_site_fract_y
_atom_site_fract_z
Zr1 Zr 0.000 0.000 0.000
Sc1 Sc 0.000 0.500 0.000
Sc2 Sc 0.500 0.000 0.000
Pt1 Pt 0.000 0.000 0.500
O1 O 0.500 0.500 0.500
# Raw total energy, eV/atom: -26.174
# Symmetry: P4/mmm
# Fermi-level density of states, states/eV per atom: 0.8792


(3)
# meta-GGA SCAN Sc2TcMo, PBEsol geometry
data_Sc2TcMo
_chemical_formula_sum 'Sc2 Tc1 Mo1'
_space_group_name_H-M_alt 'P 1'
_space_group_IT_number 1
_space_group_name_Hall 'P 1'
_cell_length_a 5.508
_cell_length_b 5.508
_cell_length_c 5.508
_cell_angle_alpha 146.10
_cell_angle_beta 129.68
_cell_angle_gamma 62.06
loop_
_atom_site_label
_atom_site_type_symbol
_atom_site_fract_x
_atom_site_fract_y
_atom_site_fract_z
Sc1 Sc 0.000 0.000 0.000
Sc2 Sc 0.722 0.222 0.500
Tc1 Tc 0.252 0.752 0.500
Mo1 Mo 0.450 0.450 0.000
# Formation energy, eV per atom: -0.132
# Symmetry: Imm2
# Fermi-level density of states, states/eV per atom: 0.8426
# Energy relative to the lowest polymorph listed for this composition, meV per atom: 6


(4)
# meta-GGA SCAN CdTc2Ru, PBEsol geometry
data_CdTc2Ru
_chemical_formula_sum 'Cd1 Tc2 Ru1'
_space_group_name_H-M_alt 'P 1'
_space_group_IT_number 1
_space_group_name_Hall 'P 1'
_cell_length_a 2.692
_cell_length_b 2.692
_cell_length_c 9.244
_cell_angle_alpha 90.00
_cell_angle_beta 90.00
_cell_angle_gamma 115.75
loop_
_atom_site_label
_atom_site_type_symbol
_atom_site_fract_x
_atom_site_fract_y
_atom_site_fract_z
Cd1 Cd 0.000 0.000 0.000
Tc1 Tc 0.000 0.000 0.503
Tc2 Tc 0.500 0.500 0.271
Ru1 Ru 0.500 0.500 0.736
# Formation energy, eV per atom: 0.379
# Symmetry: Cmm2
# Fermi-level density of states, states/eV per atom: 0.9501


(5)
# meta-GGA SCAN Ta2BeAl, PBEsol geometry
data_Ta2BeAl
_chemical_formula_sum 'Ta2 Be1 Al1'
_space_group_name_H-M_alt 'P 1'
_space_group_IT_number 1
_space_group_name_Hall 'P 1'
_cell_length_a 3.639
_cell_length_b 5.179
_cell_length_c 5.179
_cell_angle_alpha 36.97
_cell_angle_beta 90.00
_cell_angle_gamma 90.00
loop_
_atom_site_label
_atom_site_type_symbol
_atom_site_fract_x
_atom_site_fract_y
_atom_site_fract_z
Ta1 Ta 0.000 0.000 0.000
Ta2 Ta 0.500 0.327 0.327
Be1 Be 0.500 0.585 0.585
Al1 Al 0.000 0.724 0.724
# Formation energy, eV per atom: -0.162
# Symmetry: Amm2
# Fermi-level density of states, states/eV per atom: 0.4669
# Energy relative to the lowest polymorph listed for this composition, meV per atom: 0


(6)
# meta-GGA SCAN Ca2HgRh, PBEsol geometry
data_Ca2HgRh
_chemical_formula_sum 'Ca2 Hg1 Rh1'
_space_group_name_H-M_alt 'P 1'
_space_group_IT_number 1
_space_group_name_Hall 'P 1'
_cell_length_a 4.354
_cell_length_b 5.790
_cell_length_c 5.790
_cell_angle_alpha 41.44
_cell_angle_beta 90.00
_cell_angle_gamma 90.00
loop_
_atom_site_label
_atom_site_type_symbol
_atom_site_fract_x
_atom_site_fract_y
_atom_site_fract_z
Ca1 Ca 0.000 0.000 0.000
Ca2 Ca 0.500 0.284 0.284
Hg1 Hg 0.500 0.570 0.570
Rh1 Rh 0.000 0.720 0.720
# Formation energy, eV per atom: -0.507
# Symmetry: Amm2
# Fermi-level density of states, states/eV per atom: 0.4705


(7)
# meta-GGA SCAN Bi2TeO6, PBEsol geometry
data_Bi2TeO6
_chemical_formula_sum 'Bi4 Te2 O12'
_space_group_name_H-M_alt 'P 1'
_space_group_IT_number 1
_space_group_name_Hall 'P 1'
_cell_length_a 8.693
_cell_length_b 8.693
_cell_length_c 5.407
_cell_angle_alpha 90.00
_cell_angle_beta 90.00
_cell_angle_gamma 143.92
loop_
_atom_site_label
_atom_site_type_symbol
_atom_site_fract_x
_atom_site_fract_y
_atom_site_fract_z
Bi1 Bi 0.172 0.828 0.991
Bi2 Bi 0.328 0.672 0.491
Bi3 Bi 0.672 0.328 0.509
Bi4 Bi 0.828 0.172 0.009
Te1 Te 0.000 0.000 0.500
Te2 Te 0.500 0.500 0.000
O1 O 0.000 0.500 0.250
O2 O 0.000 0.500 0.750
O3 O 0.111 0.889 0.581
O4 O 0.219 0.281 0.750
O5 O 0.281 0.219 0.250
O6 O 0.389 0.611 0.081
O7 O 0.500 0.000 0.250
O8 O 0.500 0.000 0.750
O9 O 0.611 0.389 0.919
O10 O 0.719 0.781 0.750
O11 O 0.781 0.719 0.250
O12 O 0.889 0.111 0.419
# Raw total energy, eV/atom: -26.939
# Symmetry: Cmce
# Fermi-level density of states, states/eV per atom: 0.0000


(8)
# meta-GGA SCAN ReAs2Ru, PBEsol geometry
data_ReAs2Ru
_chemical_formula_sum 'Re1 As2 Ru1'
_space_group_name_H-M_alt 'P 1'
_space_group_IT_number 1
_space_group_name_Hall 'P 1'
_cell_length_a 7.889
_cell_length_b 7.889
_cell_length_c 7.889
_cell_angle_alpha 21.59
_cell_angle_beta 21.59
_cell_angle_gamma 21.59
loop_
_atom_site_label
_atom_site_type_symbol
_atom_site_fract_x
_atom_site_fract_y
_atom_site_fract_z
Re1 Re 0.000 0.000 0.000
As1 As 0.249 0.249 0.249
As2 As 0.751 0.751 0.751
Ru1 Ru 0.500 0.500 0.500
# Formation energy, eV per atom: 0.153
# Symmetry: R-3m
# Fermi-level density of states, states/eV per atom: 0.8658
# Energy relative to the lowest polymorph listed for this composition, meV per atom: 0


(9)
# meta-GGA SCAN LaAgHg, PBEsol geometry
data_LaAgHg
_chemical_formula_sum 'La1 Ag1 Hg1'
_space_group_name_H-M_alt 'P 1'
_space_group_IT_number 1
_space_group_name_Hall 'P 1'
_cell_length_a 5.641
_cell_length_b 5.641
_cell_length_c 5.641
_cell_angle_alpha 140.14
_cell_angle_beta 140.14
_cell_angle_gamma 57.65
loop_
_atom_site_label
_atom_site_type_symbol
_atom_site_fract_x
_atom_site_fract_y
_atom_site_fract_z
La1 La 0.000 0.000 0.000
Ag1 Ag 0.323 0.323 0.000
Hg1 Hg 0.680 0.680 0.000
# Formation energy, eV per atom: -0.433
# Symmetry: I4mm
# Fermi-level density of states, states/eV per atom: 0.3490


(10)
# meta-GGA SCAN TcTeP2, PBEsol geometry
data_TcTeP2
_chemical_formula_sum 'Tc1 Te1 P2'
_space_group_name_H-M_alt 'P 1'
_space_group_IT_number 1
_space_group_name_Hall 'P 1'
_cell_length_a 3.925
_cell_length_b 4.288
_cell_length_c 4.484
_cell_angle_alpha 90.00
_cell_angle_beta 106.93
_cell_angle_gamma 90.00
loop_
_atom_site_label
_atom_site_type_symbol
_atom_site_fract_x
_atom_site_fract_y
_atom_site_fract_z
Tc1 Tc 0.000 0.000 0.000
Te1 Te 0.768 0.500 0.254
P1 P 0.158 0.500 0.823
P2 P 0.417 0.000 0.684
# Raw total energy, eV/atom: -23.070
# Symmetry: Pm
# Fermi-level density of states, states/eV per atom: 0.5754


(11)
# meta-GGA SCAN Li2VCrO4, PBEsol geometry
data_Li2VCrO4
_chemical_formula_sum 'Li4 V2 Cr2 O8'
_space_group_name_H-M_alt 'P 1'
_space_group_IT_number 1
_space_group_name_Hall 'P 1'
_cell_length_a 9.666
_cell_length_b 9.666
_cell_length_c 5.106
_cell_angle_alpha 95.35
_cell_angle_beta 95.35
_cell_angle_gamma 17.08
loop_
_atom_site_label
_atom_site_type_symbol
_atom_site_fract_x
_atom_site_fract_y
_atom_site_fract_z
Li1 Li 0.000 0.000 0.000
Li2 Li 0.249 0.249 0.754
Li3 Li 0.500 0.500 0.500
Li4 Li 0.751 0.751 0.246
V1 V 0.125 0.125 0.375
V2 V 0.875 0.875 0.625
Cr1 Cr 0.375 0.375 0.125
Cr2 Cr 0.625 0.625 0.875
O1 O 0.068 0.068 0.688
O2 O 0.181 0.181 0.061
O3 O 0.318 0.318 0.432
O4 O 0.432 0.432 0.817
O5 O 0.568 0.568 0.183
O6 O 0.682 0.682 0.568
O7 O 0.819 0.819 0.939
O8 O 0.932 0.932 0.312
# Symmetry: C2/m
# Energy relative to the lowest polymorph listed for this composition, meV per atom: 1


(12)
# meta-GGA SCAN Ba3Mg5, PBEsol geometry
data_Ba3Mg5
_chemical_formula_sum 'Ba3 Mg5'
_space_group_name_H-M_alt 'P 1'
_space_group_IT_number 1
_space_group_name_Hall 'P 1'
_cell_length_a 7.210
_cell_length_b 7.210
_cell_length_c 5.640
_cell_angle_alpha 90.00
_cell_angle_beta 90.00
_cell_angle_gamma 107.43
loop_
_atom_site_label
_atom_site_type_symbol
_atom_site_fract_x
_atom_site_fract_y
_atom_site_fract_z
Ba1 Ba 0.000 0.000 0.000
Ba2 Ba 0.250 0.750 0.500
Ba3 Ba 0.750 0.250 0.500
Mg1 Mg 0.000 0.500 0.000
Mg2 Mg 0.285 0.285 0.500
Mg3 Mg 0.500 0.000 0.000
Mg4 Mg 0.500 0.500 0.000
Mg5 Mg 0.715 0.715 0.500
# Formation energy, eV per atom: 0.055
# Symmetry: Cmmm
# Fermi-level density of states, states/eV per atom: 0.8569